Entry 1:
# Li2Sm2Ga3 | Alexandria | PBE | optimized geometry
data_Li2Sm2Ga3
_chemical_formula_sum 'Li8 Sm8 Ga12'
_space_group_name_H-M_alt 'C m c m'
_space_group_IT_number 63
_space_group_name_Hall '-C 2c 2'
_cell_length_a 4.337
_cell_length_b 19.250
_cell_length_c 7.177
_cell_angle_alpha 90.00
_cell_angle_beta 90.00
_cell_angle_gamma 90.00
loop_
_atom_site_label
_atom_site_fract_x
_atom_site_fract_y
_atom_site_fract_z
Li1 0.000 0.188 0.060
Sm1 0.000 0.345 0.250
Sm2 0.000 0.445 0.750
Ga1 0.000 0.059 0.572
Ga2 0.000 0.275 0.750
# Formation energy from the elements = -0.4336 eV/atom

Entry 2:
# NdScGa | Alexandria | PBE | optimized geometry
data_NdScGa
_chemical_formula_sum 'Nd1 Sc1 Ga1'
_space_group_name_H-M_alt 'P 3 m 1'
_space_group_IT_number 156
_cell_length_a 4.8429
_cell_length_b 4.8429
_cell_length_c 3.7844
_cell_angle_alpha 90.00
_cell_angle_beta 90.00
_cell_angle_gamma 120.00
loop_
_space_group_symop_operation_xyz
'x,y,z'
'-y,x-y,z'
'-x+y,-x,z'
'-y,-x,z'
'-x+y,y,z'
'x,x-y,z'
loop_
_atom_site_label
_atom_site_fract_x
_atom_site_fract_y
_atom_site_fract_z
Nd1 0.0000 0.0000 0.0000
Sc1 0.6667 0.3333 0.4985
Ga1 0.3333 0.6667 0.5056
# Formation energy from the elements = -0.3171 eV/atom
# Offset from the most stable computed form = 0.37 eV per formula unit